w) ScTiSCl2 after structural relaxation, computed with PBE.

Total moment = 2.86 μB/f.u.

```
data_ScTiSCl2
_chemical_formula_sum 'Sc1 Ti1 S1 Cl2'
_symmetry_space_group_name_H-M 'P 4/m m m'
_symmetry_Int_Tables_number 123
_symmetry_space_group_name_Hall '-P 4 2'
_cell_length_a 4.8970
_cell_length_b 4.8970
_cell_length_c 5.0305
_cell_angle_alpha 90.00
_cell_angle_beta 90.00
_cell_angle_gamma 90.00
loop_
_atom_site_label
_atom_site_type_symbol
_atom_site_fract_x
_atom_site_fract_y
_atom_site_fract_z
Sc1 Sc 0.0000 0.0000 0.0000
Ti1 Ti 0.5000 0.5000 0.5000
S1 S 0.0000 0.0000 0.5000
Cl1 Cl 0.0000 0.5000 0.0000
```


x) ScTiSCl2 after structural relaxation, computed with PBE.

Total moment = 2.86 μB/f.u.

```
data_ScTiSCl2
_chemical_formula_sum 'Sc1 Ti1 S1 Cl2'
_symmetry_space_group_name_H-M 'P 4/m m m'
_symmetry_Int_Tables_number 123
_symmetry_space_group_name_Hall '-P 4 2'
_cell_length_a 4.7770
_cell_length_b 4.7770
_cell_length_c 4.8696
_cell_angle_alpha 90.00
_cell_angle_beta 90.00
_cell_angle_gamma 90.00
loop_
_atom_site_label
_atom_site_type_symbol
_atom_site_fract_x
_atom_site_fract_y
_atom_site_fract_z
Sc1 Sc 0.0000 0.0000 0.0000
Ti1 Ti 0.5000 0.5000 0.5000
S1 S 0.5000 0.5000 0.0000
Cl1 Cl 0.0000 0.5000 0.5000
```


Which is most stable, and by how much? x), by 0.028 eV/atom.


w) ScTlSCl2 after structural relaxation, computed with PBE.

Total moment = 1.21 μB/f.u.

```
data_ScTlSCl2
_chemical_formula_sum 'Sc1 Tl1 S1 Cl2'
_symmetry_space_group_name_H-M 'P 4/m m m'
_symmetry_Int_Tables_number 123
_symmetry_space_group_name_Hall '-P 4 2'
_cell_length_a 5.3978
_cell_length_b 5.3978
_cell_length_c 5.1354
_cell_angle_alpha 90.00
_cell_angle_beta 90.00
_cell_angle_gamma 90.00
loop_
_atom_site_label
_atom_site_type_symbol
_atom_site_fract_x
_atom_site_fract_y
_atom_site_fract_z
Sc1 Sc 0.0000 0.0000 0.0000
Tl1 Tl 0.5000 0.5000 0.5000
S1 S 0.5000 0.5000 0.0000
Cl1 Cl 0.0000 0.5000 0.5000
```


x) ScTlSCl2 after structural relaxation, computed with PBE.

Total moment = 0.00 μB/f.u.

```
data_ScTlSCl2
_chemical_formula_sum 'Sc1 Tl1 S1 Cl2'
_symmetry_space_group_name_H-M 'P 4/m m m'
_symmetry_Int_Tables_number 123
_symmetry_space_group_name_Hall '-P 4 2'
_cell_length_a 5.1159
_cell_length_b 5.1159
_cell_length_c 4.9625
_cell_angle_alpha 90.00
_cell_angle_beta 90.00
_cell_angle_gamma 90.00
loop_
_atom_site_label
_atom_site_type_symbol
_atom_site_fract_x
_atom_site_fract_y
_atom_site_fract_z
Sc1 Sc 0.0000 0.0000 0.0000
Tl1 Tl 0.5000 0.5000 0.5000
S1 S 0.0000 0.0000 0.5000
Cl1 Cl 0.0000 0.5000 0.0000
```


Which is most stable, and by how much? x), by 1.296 eV/atom.


w) ScWSCl2 after structural relaxation, computed with PBE.

Total moment = 1.08 μB/f.u.

```
data_ScWSCl2
_chemical_formula_sum 'Sc1 W1 S1 Cl2'
_symmetry_space_group_name_H-M 'P 4/m m m'
_symmetry_Int_Tables_number 123
_symmetry_space_group_name_Hall '-P 4 2'
_cell_length_a 4.8949
_cell_length_b 4.8949
_cell_length_c 4.5996
_cell_angle_alpha 90.00
_cell_angle_beta 90.00
_cell_angle_gamma 90.00
loop_
_atom_site_label
_atom_site_type_symbol
_atom_site_fract_x
_atom_site_fract_y
_atom_site_fract_z
Sc1 Sc 0.0000 0.0000 0.0000
W1 W 0.5000 0.5000 0.5000
S1 S 0.5000 0.5000 0.0000
Cl1 Cl 0.0000 0.5000 0.5000
```


x) ScWSCl2 after structural relaxation, computed with PBE.

Total moment = 4.99 μB/f.u.

```
data_ScWSCl2
_chemical_formula_sum 'Sc1 W1 S1 Cl2'
_symmetry_space_group_name_H-M 'P 4/m m m'
_symmetry_Int_Tables_number 123
_symmetry_space_group_name_Hall '-P 4 2'
_cell_length_a 4.8289
_cell_length_b 4.8289
_cell_length_c 5.2077
_cell_angle_alpha 90.00
_cell_angle_beta 90.00
_cell_angle_gamma 90.00
loop_
_atom_site_label
_atom_site_type_symbol
_atom_site_fract_x
_atom_site_fract_y
_atom_site_fract_z
Sc1 Sc 0.0000 0.0000 0.0000
W1 W 0.5000 0.5000 0.5000
S1 S 0.0000 0.0000 0.5000
Cl1 Cl 0.0000 0.5000 0.0000
```


Which is most stable, and by how much? w), by 0.007 eV/atom.


w) YScSCl2 after structural relaxation, computed with PBE.

Total moment = 1.82 μB/f.u.

```
data_YScSCl2
_chemical_formula_sum 'Y1 Sc1 S1 Cl2'
_symmetry_space_group_name_H-M 'P 4/m m m'
_symmetry_Int_Tables_number 123
_symmetry_space_group_name_Hall '-P 4 2'
_cell_length_a 5.2255
_cell_length_b 5.2255
_cell_length_c 5.2963
_cell_angle_alpha 90.00
_cell_angle_beta 90.00
_cell_angle_gamma 90.00
loop_
_atom_site_label
_atom_site_type_symbol
_atom_site_fract_x
_atom_site_fract_y
_atom_site_fract_z
Y1 Y 0.0000 0.0000 0.0000
Sc1 Sc 0.5000 0.5000 0.5000
S1 S 0.0000 0.0000 0.5000
Cl1 Cl 0.0000 0.5000 0.0000
```


x) YScSCl2 after structural relaxation, computed with PBE.

Total moment = 1.03 μB/f.u.

```
data_YScSCl2
_chemical_formula_sum 'Y1 Sc1 S1 Cl2'
_symmetry_space_group_name_H-M 'P 4/m m m'
_symmetry_Int_Tables_number 123
_symmetry_space_group_name_Hall '-P 4 2'
_cell_length_a 4.8493
_cell_length_b 4.8493
_cell_length_c 5.0608
_cell_angle_alpha 90.00
_cell_angle_beta 90.00
_cell_angle_gamma 90.00
loop_
_atom_site_label
_atom_site_type_symbol
_atom_site_fract_x
_atom_site_fract_y
_atom_site_fract_z
Y1 Y 0.0000 0.0000 0.0000
Sc1 Sc 0.5000 0.5000 0.5000
S1 S 0.5000 0.5000 0.0000
Cl1 Cl 0.0000 0.5000 0.5000
```


Which is most stable, and by how much? x), by 0.135 eV/atom.


w) ScZnS2Cl after structural relaxation, computed with PBE.

Total moment = 0.00 μB/f.u.

```
data_ScZnS2Cl
_chemical_formula_sum 'Sc1 Zn1 S2 Cl1'
_symmetry_space_group_name_H-M 'P 4/m m m'
_symmetry_Int_Tables_number 123
_symmetry_space_group_name_Hall '-P 4 2'
_cell_length_a 4.9904
_cell_length_b 4.9904
_cell_length_c 4.8534
_cell_angle_alpha 90.00
_cell_angle_beta 90.00
_cell_angle_gamma 90.00
loop_
_atom_site_label
_atom_site_type_symbol
_atom_site_fract_x
_atom_site_fract_y
_atom_site_fract_z
Sc1 Sc 0.0000 0.0000 0.0000
Zn1 Zn 0.5000 0.5000 0.5000
S1 S 0.0000 0.5000 0.0000
Cl1 Cl 0.0000 0.0000 0.5000
```


x) ScZnS2Cl after structural relaxation, computed with PBE.

Total moment = 0.04 μB/f.u.

```
data_ScZnS2Cl
_chemical_formula_sum 'Sc1 Zn1 S2 Cl1'
_symmetry_space_group_name_H-M 'P 4/m m m'
_symmetry_Int_Tables_number 123
_symmetry_space_group_name_Hall '-P 4 2'
_cell_length_a 4.7481
_cell_length_b 4.7481
_cell_length_c 4.5738
_cell_angle_alpha 90.00
_cell_angle_beta 90.00
_cell_angle_gamma 90.00
loop_
_atom_site_label
_atom_site_type_symbol
_atom_site_fract_x
_atom_site_fract_y
_atom_site_fract_z
Sc1 Sc 0.0000 0.0000 0.0000
Zn1 Zn 0.5000 0.5000 0.5000
S1 S 0.0000 0.5000 0.5000
Cl1 Cl 0.5000 0.5000 0.0000
```


Which is most stable, and by how much? w), by 0.197 eV/atom.


w) ZrScS2Cl after structural relaxation, computed with PBE.

Total moment = 1.95 μB/f.u.

```
data_ZrScS2Cl
_chemical_formula_sum 'Zr1 Sc1 S2 Cl1'
_symmetry_space_group_name_H-M 'P 4/m m m'
_symmetry_Int_Tables_number 123
_symmetry_space_group_name_Hall '-P 4 2'
_cell_length_a 4.9299
_cell_length_b 4.9299
_cell_length_c 4.7140
_cell_angle_alpha 90.00
_cell_angle_beta 90.00
_cell_angle_gamma 90.00
loop_
_atom_site_label
_atom_site_type_symbol
_atom_site_fract_x
_atom_site_fract_y
_atom_site_fract_z
Zr1 Zr 0.0000 0.0000 0.0000
Sc1 Sc 0.5000 0.5000 0.5000
S1 S 0.0000 0.5000 0.5000
Cl1 Cl 0.5000 0.5000 0.0000
```


x) ZrScS2Cl after structural relaxation, computed with PBE.

Total moment = 1.37 μB/f.u.

```
data_ZrScS2Cl
_chemical_formula_sum 'Zr1 Sc1 S2 Cl1'
_symmetry_space_group_name_H-M 'P 4/m m m'
_symmetry_Int_Tables_number 123
_symmetry_space_group_name_Hall '-P 4 2'
_cell_length_a 4.9952
_cell_length_b 4.9952
_cell_length_c 4.8991
_cell_angle_alpha 90.00
_cell_angle_beta 90.00
_cell_angle_gamma 90.00
loop_
_atom_site_label
_atom_site_type_symbol
_atom_site_fract_x
_atom_site_fract_y
_atom_site_fract_z
Zr1 Zr 0.0000 0.0000 0.0000
Sc1 Sc 0.5000 0.5000 0.5000
S1 S 0.0000 0.5000 0.0000
Cl1 Cl 0.0000 0.0000 0.5000
```


Which is most stable, and by how much? x), by 0.091 eV/atom.